Density functional theory data (PBE) for a relaxed structure of Zr2Hg2B.

Lattice parameters (Å, degrees): 6.360 6.360 4.812 90.00 90.00 90.00
Positions (direct):
B (0.000, 0.000, 0.000)
B (0.500, 0.500, 0.000)
Hg (0.344, 0.844, 0.000)
Hg (0.844, 0.656, 0.000)
Hg (0.656, 0.156, 0.000)
Hg (0.156, 0.344, 0.000)
Zr (0.169, 0.669, 0.500)
Zr (0.669, 0.831, 0.500)
Zr (0.831, 0.331, 0.500)
Zr (0.331, 0.169, 0.500)

Summary:
magnetization	0.000	μB per formula unit
ΔH_f (0 K)	0.456	eV per atom
electronic total energy	-4.419	eV per atom
DOS at the Fermi energy	2.94	states/eV/f.u.
energy relative to the lowest polymorph listed for this composition	0.00	eV per formula unit

---

Density functional theory data (PBE) for a relaxed structure of Zr2HgB2.

Lattice parameters (Å, degrees): 6.579 6.579 3.449 90.00 90.00 90.00
Positions (direct):
B (0.409, 0.909, 0.000)
B (0.909, 0.591, 0.000)
B (0.591, 0.091, 0.000)
B (0.091, 0.409, 0.000)
Hg (0.000, 0.000, 0.000)
Hg (0.500, 0.500, 0.000)
Zr (0.178, 0.678, 0.500)
Zr (0.678, 0.822, 0.500)
Zr (0.822, 0.322, 0.500)
Zr (0.322, 0.178, 0.500)

Summary:
magnetization	0.000	μB per formula unit
ΔH_f (0 K)	-0.386	eV per atom
electronic total energy	-6.537	eV per atom
DOS at the Fermi energy	0.83	states/eV/f.u.

---

Density functional theory data (PBE) for a relaxed structure of ZrHg2B.

Lattice parameters (Å, degrees): 7.707 7.707 6.018 50.19 50.19 90.00
Positions (direct):
B (0.500, 0.500, 0.000)
B (0.250, 0.750, 0.500)
Hg (0.543, 0.125, 0.250)
Hg (0.207, 0.625, 0.250)
Hg (0.375, 0.457, 0.750)
Hg (0.875, 0.793, 0.750)
Zr (0.000, 0.000, 0.000)
Zr (0.750, 0.250, 0.500)

Summary:
magnetization	0.000	μB per formula unit
ΔH_f (0 K)	0.436	eV per atom
electronic total energy	-3.521	eV per atom
DOS at the Fermi energy	2.84	states/eV/f.u.

---

Density functional theory data (PBE) for a relaxed structure of Zr5Hg2B2.

Lattice parameters (Å, degrees): 6.594 6.636 8.349 90.00 66.74 90.00
Positions (direct):
Zr (0.000, 0.000, 0.000)
Zr (0.500, 0.500, 0.000)
Zr (0.423, 0.179, 0.784)
Zr (0.793, 0.821, 0.784)
Zr (0.293, 0.679, 0.784)
Zr (0.923, 0.321, 0.784)
Zr (0.577, 0.821, 0.216)
Zr (0.207, 0.179, 0.216)
Zr (0.707, 0.321, 0.216)
Zr (0.077, 0.679, 0.216)
Hg (0.229, 0.000, 0.541)
Hg (0.729, 0.500, 0.541)
Hg (0.771, 0.000, 0.459)
Hg (0.271, 0.500, 0.459)
B (0.098, 0.400, 0.000)
B (0.902, 0.600, 0.000)
B (0.402, 0.900, 0.000)
B (0.598, 0.100, 0.000)

Summary:
magnetization	0.000	μB per formula unit
ΔH_f (0 K)	-0.326	eV per atom
electronic total energy	-6.626	eV per atom
DOS at the Fermi energy	7.78	states/eV/f.u.